Entry from the Alexandria database: a geometry-optimized Sr2Be2Pt structure (PBE).

Computed properties:
Energy relative to the elements: 78 meV/atom
E_tot: -3.293 eV/atom
M_tot: 0.00 μB per formula unit
N(E_F): 0.76 states/eV per atom
Mass density: 6.04 Mg/m³
Polymorph energy (0 for the lowest one): 32 meV per atom

Cell: 6.735 6.735 4.706 Å, 90.00 90.00 90.00°
Element x y z (fractional)
Sr (0.191, 0.309, 0.000)
Sr (0.309, 0.809, 0.000)
Sr (0.691, 0.191, 0.000)
Sr (0.809, 0.691, 0.000)
Be (0.118, 0.618, 0.500)
Be (0.382, 0.118, 0.500)
Be (0.618, 0.882, 0.500)
Be (0.882, 0.382, 0.500)
Pt (0.000, 0.000, 0.500)
Pt (0.500, 0.500, 0.500)